[1]
Below is a relaxed structure of RbScCd, with properties calculated at the GGA-PBE level.

Offset from the most stable computed form (meV/atom): 400.8
Symmetry: F-43m

Cell lengths 5.557, 5.557, 5.557 Å; angles 60.00, 60.00, 60.00 degrees
Element x y z (fractional)
Sc1 0.750 0.750 0.750
Cd1 0.250 0.250 0.250
Rb1 0.000 0.000 0.000



[2]
Below is a relaxed structure of AcTc4O12, with properties calculated at the GGA-PBE level.

Final energy (eV/f.u.): -133.433
Symmetry: Im-3

Cell lengths 6.644, 6.644, 6.644 Å; angles 109.47, 109.47, 109.47 degrees
Element x y z (fractional)
Tc1 0.500 0.000 0.000
Tc2 0.500 0.500 0.500
Tc3 0.000 0.500 0.000
Tc4 0.000 0.000 0.500
O1 0.753 0.999 0.245
O2 0.508 0.755 0.753
O3 0.999 0.245 0.753
O4 0.245 0.753 0.999
O5 0.247 0.001 0.755
O6 0.245 0.247 0.492
O7 0.753 0.508 0.755
O8 0.755 0.247 0.001
O9 0.492 0.245 0.247
O10 0.247 0.492 0.245
O11 0.001 0.755 0.247
O12 0.755 0.753 0.508
Ac1 0.000 0.000 0.000



[3]
Below is a relaxed structure of TbTmAu2, with properties calculated at the GGA-PBE level.

Symmetry: Amm2
ΔE_f (meV per atom): -889

Cell lengths 4.640, 5.761, 5.761 Å; angles 37.48, 90.00, 90.00 degrees
Element x y z (fractional)
Tm1 0.000 0.640 0.640
Au1 0.500 0.089 0.089
Au2 0.000 0.911 0.911
Tb1 0.500 0.360 0.360



[4]
Below is a relaxed structure of SrPrMg4Pt2, with properties calculated at the GGA-PBE level.

Final energy (eV/f.u.): -29.930
Symmetry: Amm2

Cell lengths 8.269, 5.753, 5.753 Å; angles 43.80, 90.00, 90.00 degrees
Element x y z (fractional)
Pt1 0.500 0.225 0.225
Pt2 0.000 0.772 0.772
Mg1 0.694 0.657 0.657
Mg2 0.807 0.344 0.344
Mg3 0.306 0.657 0.657
Mg4 0.193 0.344 0.344
Pr1 0.000 0.061 0.061
Sr1 0.500 0.941 0.941